# K2Mn3NiF12

A geometry-optimized K2Mn3NiF12 structure (PBE with a Hubbard U, the Alexandria database). Values from VASP.

Computed properties:
theoretical density = 3.2 Mg/m³
Fermi-level density of states = 0.16 states/eV/atom
calculated total energy = -90.54 eV per cell
space group = R-3m
V = 15.10 Å³/atom
total magnetization = 9.0 μB per formula unit

Geometry as Quantum ESPRESSO input:
```
&SYSTEM
  ibrav = 0, nat = 18, ntyp = 4
/
ATOMIC_SPECIES
K 39.10 K.upf
Mn 54.94 Mn.upf
Ni 58.69 Ni.upf
F 19.00 F.upf
CELL_PARAMETERS angstrom
-5.0748 4.6194 2.4096
-2.3071 -0.3923 6.8863
1.7825 5.2194 4.7412
ATOMIC_POSITIONS angstrom
K -3.5023 5.9085 8.7798
K -2.0971 3.5380 5.2572
Mn -2.5374 2.3097 1.2048
Mn -1.1536 -0.1962 3.4432
Mn 0.8913 2.6097 2.3706
Ni 0.0000 0.0000 0.0000
F -0.7265 6.1551 7.3398
F -6.2108 5.6357 10.1489
F -2.1745 5.9889 11.5212
F -4.8354 5.7955 5.9427
F -3.8036 8.9388 8.8862
F -3.1770 2.7925 8.6251
F -4.8728 3.2915 6.6973
F 0.6114 3.8108 3.8882
F -3.4248 3.4576 2.5159
F -0.7640 3.6510 8.0944
F -1.7958 0.5077 5.1509
F -2.4224 6.6540 5.4119
```